(1)
Dy2InBr5: optimized geometry, GGA-PBE.

Computed properties:
Final energy, eV per atom: -3.79
Density, kg/m³: 5988
Spin magnetization, μB per cell: 0.08

The structure in CIF format:
```
data_Dy2InBr5
_chemical_formula_sum 'Dy8 In4 Br20'
_cell_length_a 8.020
_cell_length_b 8.020
_cell_length_c 14.475
_cell_angle_alpha 90.00
_cell_angle_beta 90.00
_cell_angle_gamma 90.00
_space_group_name_H-M_alt 'I 4/m c m'
_space_group_IT_number 140
_space_group_name_Hall '-I 4 2c'
loop_
_atom_site_label
_atom_site_type_symbol
_atom_site_fract_x
_atom_site_fract_y
_atom_site_fract_z
_atom_site_occupancy
Dy1 Dy 0.145 0.355 0.000 1
In1 In 0.000 0.000 0.250 1
Br1 Br 0.000 0.000 0.000 1
Br2 Br 0.149 0.351 0.371 1
```

(2)
NdDyIn2Br2: optimized geometry, GGA-PBE.

Computed properties:
Final energy, eV per atom: -4.04
Density, kg/m³: 6058
Spin magnetization, μB per cell: 0.01

The structure in CIF format:
```
data_NdDyIn2Br2
_chemical_formula_sum 'Nd1 Dy1 In2 Br2'
_cell_length_a 4.4755
_cell_length_b 4.4755
_cell_length_c 11.0004
_cell_angle_alpha 90.00
_cell_angle_beta 90.00
_cell_angle_gamma 120.00
_space_group_name_H-M_alt 'P 3 m 1'
_space_group_IT_number 156
loop_
_space_group_symop_operation_xyz
'x,y,z'
'-y,x-y,z'
'-x+y,-x,z'
'-y,-x,z'
'-x+y,y,z'
'x,x-y,z'
loop_
_atom_site_label
_atom_site_type_symbol
_atom_site_fract_x
_atom_site_fract_y
_atom_site_fract_z
_atom_site_occupancy
Nd1 Nd 0.0000 0.0000 0.0000 1
Dy1 Dy 0.0000 0.0000 0.5937 1
In1 In 0.3333 0.6667 0.8386 1
In2 In 0.6667 0.3333 0.7452 1
Br1 Br 0.3333 0.6667 0.4493 1
Br2 Br 0.6667 0.3333 0.1544 1
```

(3)
DyIrBr6: optimized geometry, GGA-PBE.

Computed properties:
Final energy, eV per atom: -3.97
Density, kg/m³: 5612
Spin magnetization, μB per cell: 0.01

The structure in CIF format:
```
data_DyIrBr6
_chemical_formula_sum 'Dy2 Ir2 Br12'
_cell_length_a 6.644
_cell_length_b 11.466
_cell_length_c 6.863
_cell_angle_alpha 90.00
_cell_angle_beta 109.26
_cell_angle_gamma 90.00
_space_group_name_H-M_alt 'C 1 2 1'
_space_group_IT_number 5
loop_
_space_group_symop_operation_xyz
'x,y,z'
'-x,y,-z'
'x+1/2,y+1/2,z'
'-x+1/2,y+1/2,-z'
loop_
_atom_site_label
_atom_site_type_symbol
_atom_site_fract_x
_atom_site_fract_y
_atom_site_fract_z
_atom_site_occupancy
Dy1 Dy 0.000 0.000 0.000 1
Ir1 Ir 0.000 0.668 0.000 1
Br1 Br 0.224 0.670 0.767 1
Br2 Br 0.229 0.515 0.236 1
Br3 Br 0.235 0.818 0.239 1
```

(4)
DyLuS2Br2: optimized geometry, GGA-PBE.

Computed properties:
Final energy, eV per atom: -5.46
Density, kg/m³: 4839
Spin magnetization, μB per cell: 0.00

The structure in CIF format:
```
data_DyLuS2Br2
_chemical_formula_sum 'Dy1 Lu1 S2 Br2'
_cell_length_a 4.009
_cell_length_b 5.301
_cell_length_c 9.065
_cell_angle_alpha 90.00
_cell_angle_beta 90.00
_cell_angle_gamma 90.00
_space_group_name_H-M_alt 'P m m 2'
_space_group_IT_number 25
loop_
_space_group_symop_operation_xyz
'x,y,z'
'-x,-y,z'
'-x,y,z'
'x,-y,z'
loop_
_atom_site_label
_atom_site_type_symbol
_atom_site_fract_x
_atom_site_fract_y
_atom_site_fract_z
_atom_site_occupancy
Dy1 Dy 0.000 0.000 0.000 1
Lu1 Lu 0.500 0.500 0.747 1
S1 S 0.000 0.500 0.943 1
S2 S 0.500 0.000 0.794 1
Br1 Br 0.000 0.500 0.535 1
Br2 Br 0.500 0.000 0.219 1
```

(5)
Dy4Br5N: optimized geometry, GGA-PBE.

Computed properties:
Final energy, eV per atom: -5.10
Density, kg/m³: 6864
Spin magnetization, μB per cell: 0.01

The structure in CIF format:
```
data_Dy4Br5N
_chemical_formula_sum 'Dy8 Br10 N2'
_cell_length_a 17.560
_cell_length_b 3.738
_cell_length_c 8.054
_cell_angle_alpha 90.00
_cell_angle_beta 103.23
_cell_angle_gamma 90.00
_space_group_name_H-M_alt 'C 1 2/m 1'
_space_group_IT_number 12
loop_
_space_group_symop_operation_xyz
'x,y,z'
'-x,-y,-z'
'-x,y,-z'
'x,-y,z'
'x+1/2,y+1/2,z'
'-x+1/2,-y+1/2,-z'
'-x+1/2,y+1/2,-z'
'x+1/2,-y+1/2,z'
loop_
_atom_site_label
_atom_site_type_symbol
_atom_site_fract_x
_atom_site_fract_y
_atom_site_fract_z
_atom_site_occupancy
Dy1 Dy 0.001 0.000 0.301 1
Dy2 Dy 0.136 0.500 0.570 1
Br1 Br 0.000 0.500 0.000 1
Br2 Br 0.164 0.000 0.844 1
Br3 Br 0.170 0.000 0.323 1
N1 N 0.000 0.500 0.500 1
```

(6)
Dy4Br4N3: optimized geometry, GGA-PBE.

Computed properties:
Final energy, eV per atom: -6.12
Density, kg/m³: 6713
Spin magnetization, μB per cell: 0.67

The structure in CIF format:
```
data_Dy4Br4N3
_chemical_formula_sum 'Dy4 Br4 N3'
_cell_length_a 3.745
_cell_length_b 7.464
_cell_length_c 8.953
_cell_angle_alpha 90.00
_cell_angle_beta 90.00
_cell_angle_gamma 90.00
_space_group_name_H-M_alt 'P m m 2'
_space_group_IT_number 25
loop_
_space_group_symop_operation_xyz
'x,y,z'
'-x,-y,z'
'-x,y,z'
'x,-y,z'
loop_
_atom_site_label
_atom_site_type_symbol
_atom_site_fract_x
_atom_site_fract_y
_atom_site_fract_z
_atom_site_occupancy
Dy1 Dy 0.000 0.000 0.000 1
Dy2 Dy 0.000 0.500 0.058 1
Dy3 Dy 0.500 0.256 0.320 1
Br1 Br 0.000 0.000 0.505 1
Br2 Br 0.000 0.500 0.514 1
Br3 Br 0.500 0.248 0.849 1
N1 N 0.000 0.204 0.177 1
N2 N 0.500 0.500 0.189 1
```

(7)
PrDyBr3N: optimized geometry, GGA-PBE.

Computed properties:
Final energy, eV per atom: -5.57
Density, kg/m³: 5488
Spin magnetization, μB per cell: 0.01

The structure in CIF format:
```
data_PrDyBr3N
_chemical_formula_sum 'Pr4 Dy4 Br12 N4'
_cell_length_a 17.778
_cell_length_b 3.956
_cell_length_c 11.452
_cell_angle_alpha 90.00
_cell_angle_beta 123.16
_cell_angle_gamma 90.00
_space_group_name_H-M_alt 'C 1 2/m 1'
_space_group_IT_number 12
loop_
_space_group_symop_operation_xyz
'x,y,z'
'-x,-y,-z'
'-x,y,-z'
'x,-y,z'
'x+1/2,y+1/2,z'
'-x+1/2,-y+1/2,-z'
'-x+1/2,y+1/2,-z'
'x+1/2,-y+1/2,z'
loop_
_atom_site_label
_atom_site_type_symbol
_atom_site_fract_x
_atom_site_fract_y
_atom_site_fract_z
_atom_site_occupancy
Pr1 Pr 0.081 0.000 0.455 1
Dy1 Dy 0.136 0.500 0.787 1
Br1 Br 0.036 0.500 0.231 1
Br2 Br 0.168 0.000 0.011 1
Br3 Br 0.227 0.500 0.627 1
N1 N 0.077 0.000 0.658 1
```

(8)
Pr2Dy2Br5N: optimized geometry, GGA-PBE.

Computed properties:
Final energy, eV per atom: -5.16
Density, kg/m³: 5981
Spin magnetization, μB per cell: 0.01

The structure in CIF format:
```
data_Pr2Dy2Br5N
_chemical_formula_sum 'Pr4 Dy4 Br10 N2'
_cell_length_a 17.989
_cell_length_b 3.849
_cell_length_c 8.399
_cell_angle_alpha 90.00
_cell_angle_beta 103.04
_cell_angle_gamma 90.00
_space_group_name_H-M_alt 'C 1 2/m 1'
_space_group_IT_number 12
loop_
_space_group_symop_operation_xyz
'x,y,z'
'-x,-y,-z'
'-x,y,-z'
'x,-y,z'
'x+1/2,y+1/2,z'
'-x+1/2,-y+1/2,-z'
'-x+1/2,y+1/2,-z'
'x+1/2,-y+1/2,z'
loop_
_atom_site_label
_atom_site_type_symbol
_atom_site_fract_x
_atom_site_fract_y
_atom_site_fract_z
_atom_site_occupancy
Pr1 Pr 0.001 0.000 0.296 1
Dy1 Dy 0.134 0.500 0.567 1
Br1 Br 0.000 0.500 0.000 1
Br2 Br 0.169 0.000 0.827 1
Br3 Br 0.174 0.000 0.341 1
N1 N 0.000 0.500 0.500 1
```

(9)
SmDyBr2N: optimized geometry, GGA-PBE.

Computed properties:
Final energy, eV per atom: -5.90
Density, kg/m³: 6444
Spin magnetization, μB per cell: 0.00

The structure in CIF format:
```
data_SmDyBr2N
_chemical_formula_sum 'Sm1 Dy1 Br2 N1'
_cell_length_a 3.7006
_cell_length_b 3.7006
_cell_length_c 10.5747
_cell_angle_alpha 90.00
_cell_angle_beta 90.00
_cell_angle_gamma 120.00
_space_group_name_H-M_alt 'P 3 m 1'
_space_group_IT_number 156
loop_
_space_group_symop_operation_xyz
'x,y,z'
'-y,x-y,z'
'-x+y,-x,z'
'-y,-x,z'
'-x+y,y,z'
'x,x-y,z'
loop_
_atom_site_label
_atom_site_type_symbol
_atom_site_fract_x
_atom_site_fract_y
_atom_site_fract_z
_atom_site_occupancy
Sm1 Sm 0.0000 0.0000 0.0000 1
Dy1 Dy 0.3333 0.6667 0.2488 1
Br1 Br 0.0000 0.0000 0.4322 1
Br2 Br 0.3333 0.6667 0.8101 1
N1 N 0.6667 0.3333 0.1336 1
```

(10)
SmDyBr3N: optimized geometry, GGA-PBE.

Computed properties:
Final energy, eV per atom: -5.59
Density, kg/m³: 5557
Spin magnetization, μB per cell: 0.00

The structure in CIF format:
```
data_SmDyBr3N
_chemical_formula_sum 'Sm4 Dy4 Br12 N4'
_cell_length_a 18.118
_cell_length_b 3.915
_cell_length_c 11.561
_cell_angle_alpha 90.00
_cell_angle_beta 124.34
_cell_angle_gamma 90.00
_space_group_name_H-M_alt 'C 1 2/m 1'
_space_group_IT_number 12
loop_
_space_group_symop_operation_xyz
'x,y,z'
'-x,-y,-z'
'-x,y,-z'
'x,-y,z'
'x+1/2,y+1/2,z'
'-x+1/2,-y+1/2,-z'
'-x+1/2,y+1/2,-z'
'x+1/2,-y+1/2,z'
loop_
_atom_site_label
_atom_site_type_symbol
_atom_site_fract_x
_atom_site_fract_y
_atom_site_fract_z
_atom_site_occupancy
Sm1 Sm 0.077 0.000 0.458 1
Dy1 Dy 0.136 0.500 0.786 1
Br1 Br 0.036 0.500 0.240 1
Br2 Br 0.169 0.000 0.011 1
Br3 Br 0.221 0.500 0.623 1
N1 N 0.076 0.000 0.657 1
```

(11)
Sm2Dy2Br5N: optimized geometry, GGA-PBE.

Computed properties:
Final energy, eV per atom: -5.13
Density, kg/m³: 6548
Spin magnetization, μB per cell: 0.01

The structure in CIF format:
```
data_Sm2Dy2Br5N
_chemical_formula_sum 'Sm4 Dy4 Br10 N2'
_cell_length_a 17.695
_cell_length_b 3.770
_cell_length_c 8.130
_cell_angle_alpha 90.00
_cell_angle_beta 103.61
_cell_angle_gamma 90.00
_space_group_name_H-M_alt 'C 1 2/m 1'
_space_group_IT_number 12
loop_
_space_group_symop_operation_xyz
'x,y,z'
'-x,-y,-z'
'-x,y,-z'
'x,-y,z'
'x+1/2,y+1/2,z'
'-x+1/2,-y+1/2,-z'
'-x+1/2,y+1/2,-z'
'x+1/2,-y+1/2,z'
loop_
_atom_site_label
_atom_site_type_symbol
_atom_site_fract_x
_atom_site_fract_y
_atom_site_fract_z
_atom_site_occupancy
Sm1 Sm 0.140 0.000 0.073 1
Dy1 Dy 0.001 0.500 0.802 1
Br1 Br 0.000 0.000 0.500 1
Br2 Br 0.162 0.500 0.352 1
Br3 Br 0.168 0.500 0.816 1
N1 N 0.000 0.000 0.000 1
```

(12)
TbDyBr3N: optimized geometry, GGA-PBE.

Computed properties:
Final energy, eV per atom: -5.61
Density, kg/m³: 5669
Spin magnetization, μB per cell: 0.01

The structure in CIF format:
```
data_TbDyBr3N
_chemical_formula_sum 'Tb4 Dy4 Br12 N4'
_cell_length_a 18.242
_cell_length_b 3.885
_cell_length_c 11.578
_cell_angle_alpha 90.00
_cell_angle_beta 124.79
_cell_angle_gamma 90.00
_space_group_name_H-M_alt 'C 1 2/m 1'
_space_group_IT_number 12
loop_
_space_group_symop_operation_xyz
'x,y,z'
'-x,-y,-z'
'-x,y,-z'
'x,-y,z'
'x+1/2,y+1/2,z'
'-x+1/2,-y+1/2,-z'
'-x+1/2,y+1/2,-z'
'x+1/2,-y+1/2,z'
loop_
_atom_site_label
_atom_site_type_symbol
_atom_site_fract_x
_atom_site_fract_y
_atom_site_fract_z
_atom_site_occupancy
Tb1 Tb 0.136 0.000 0.285 1
Dy1 Dy 0.074 0.500 0.960 1
Br1 Br 0.038 0.000 0.748 1
Br2 Br 0.168 0.500 0.511 1
Br3 Br 0.215 0.000 0.118 1
N1 N 0.074 0.500 0.153 1
```